A plane-wave DFT calculation with SCAN was carried out for a crystal of LiGa2Sn2 relaxed with PBEsol.

abc: 7.277 7.277 4.043
angles: 90.00 90.00 90.00
Sites, in units of the cell vectors:
1 Li 0.000 0.000 0.000
2 Li 0.500 0.500 0.000
3 Ga 0.126 0.374 0.000
4 Ga 0.374 0.874 0.000
5 Ga 0.626 0.126 0.000
6 Ga 0.874 0.626 0.000
7 Sn 0.181 0.681 0.500
8 Sn 0.319 0.181 0.500
9 Sn 0.681 0.819 0.500
10 Sn 0.819 0.319 0.500

Calculated values
ΔE_f, meV/atom: -35
Total DFT energy (no corrections), eV/atom: -21.42
Symmetry: No. 127
Calculated density, g/cm³: 5.95